This record from the Alexandria database describes a relaxed structure of La2HoTmTe5. The functional is PBE.

a = 5.473 Å, b = 5.473 Å, c = 11.499 Å
α = 90.00°, β = 90.00°, γ = 90.00°
Atoms (fractional coordinates):
1 La 0.000 0.000 0.177
2 La 0.000 0.000 0.823
3 Ho 0.500 0.500 0.500
4 Tm 0.500 0.500 0.000
5 Te 0.000 0.000 0.500
6 Te 0.000 0.500 0.000
7 Te 0.500 0.000 0.000
8 Te 0.500 0.500 0.254
9 Te 0.500 0.500 0.746

Values from the calculation:
The theoretical density is 6025 kg/m³. The calculation puts the calculated total energy at -4.806 eV per atom.